# 1
First-principles (PBE) data for a relaxed structure of Nd5YTm2, as listed in Alexandria via LeMat-Bulk.

Properties
E_tot ... -4.790 eV/atom
ΔH_f (0 K) ... 0.116 eV per atom
Density ... 7.028 g cm⁻³
Offset from the most stable computed form ... 0.0 meV per atom

Unit cell a=9.2654 b=9.2654 c=9.1025 alpha=120.59 beta=120.59 gamma=90.00
Last column: nearest neighbours and their distance in Å.
Element x y z (fractional)
Nd (0.4862, 0.6870, 0.6732)  3 Tm 3.38-3.43, 3 Nd 3.42-3.53, 2 Y 3.70
Nd (0.8130, 0.0138, 0.3268)  3 Tm 3.38-3.43, 3 Nd 3.42-3.53, 2 Y 3.70
Nd (0.0000, 0.0000, 0.0000)  2 Y 3.16
Nd (0.5000, 0.5000, 0.0000)  2 Y 3.16
Nd (0.1870, 0.9862, 0.6732)  3 Tm 3.38-3.43, 3 Nd 3.42-3.53, 2 Y 3.70
Nd (0.6870, 0.1870, 0.6732)  3 Tm 3.38-3.43, 3 Nd 3.42-3.53, 2 Y 3.70
Nd (0.9862, 0.4862, 0.6732)  3 Tm 3.38-3.43, 3 Nd 3.42-3.53, 2 Y 3.70
Nd (0.3130, 0.8130, 0.3268)  3 Tm 3.38-3.43, 3 Nd 3.42-3.53, 2 Y 3.70
Nd (0.0138, 0.5138, 0.3268)  3 Tm 3.38-3.43, 3 Nd 3.42-3.53, 2 Y 3.70
Nd (0.5138, 0.3130, 0.3268)  3 Tm 3.38-3.43, 3 Nd 3.42-3.53, 2 Y 3.70
Y (0.7500, 0.7500, 0.5000)  2 Nd 3.16
Y (0.2500, 0.2500, 0.5000)  2 Nd 3.16
Tm (0.1462, 0.3538, 0.0000)  8 Nd 3.38-3.55
Tm (0.6462, 0.1462, 0.0000)  8 Nd 3.38-3.55
Tm (0.3538, 0.8538, 0.0000)  8 Nd 3.38-3.55
Tm (0.8538, 0.6462, 0.0000)  8 Nd 3.38-3.55

=====

# 2
First-principles (PBE) data for a relaxed structure of NdY2Tm2, as listed in Alexandria via LeMat-Bulk.

Properties
E_tot ... -5.244 eV/atom
ΔH_f (0 K) ... 0.084 eV per atom
Density ... 6.696 g cm⁻³
Offset from the most stable computed form ... 0.0 meV per atom

Unit cell a=9.4009 b=9.4009 c=3.7037 alpha=90.00 beta=90.00 gamma=90.00
Last column: nearest neighbours and their distance in Å.
Element x y z (fractional)
Nd (0.0000, 0.0000, 0.0000)  2 Nd 3.70, 4 Tm 3.73, 8 Y 3.94
Nd (0.5000, 0.5000, 0.0000)  2 Nd 3.70, 4 Tm 3.73, 8 Y 3.94
Y (0.3268, 0.8268, 0.5000)  6 Tm 3.28-3.38
Y (0.8268, 0.6732, 0.5000)  6 Tm 3.28-3.38
Y (0.6732, 0.1732, 0.5000)  6 Tm 3.28-3.38
Y (0.1732, 0.3268, 0.5000)  6 Tm 3.28-3.38
Tm (0.1234, 0.6234, 0.0000)  6 Y 3.28-3.38, 1 Tm 3.28
Tm (0.6234, 0.8766, 0.0000)  6 Y 3.28-3.38, 1 Tm 3.28
Tm (0.8766, 0.3766, 0.0000)  6 Y 3.28-3.38, 1 Tm 3.28
Tm (0.3766, 0.1234, 0.0000)  6 Y 3.28-3.38, 1 Tm 3.28

=====

# 3
First-principles (PBE) data for a relaxed structure of NdYTm5, as listed in Alexandria via LeMat-Bulk.

Properties
E_tot ... -4.598 eV/atom
ΔH_f (0 K) ... 0.201 eV per atom
Density ... 7.941 g cm⁻³
Offset from the most stable computed form ... 3.6 meV per atom

Unit cell a=8.7582 b=8.7582 c=13.1329 alpha=45.06 beta=45.06 gamma=43.58
Last column: nearest neighbours and their distance in Å.
Element x y z (fractional)
Nd (0.0000, 0.0000, 0.0000)  4 Tm 3.30-3.64, 2 Y 3.63
Nd (0.0000, 0.0000, 0.5000)  4 Tm 3.30-3.64, 2 Y 3.63
Y (0.7616, 0.2384, 0.2500)  8 Tm 3.12-3.41
Y (0.2384, 0.7616, 0.7500)  8 Tm 3.12-3.41
Tm (0.7372, 0.7536, 0.0938)  6 Tm 3.21-3.55, 2 Y 3.28-3.41, 1 Nd 3.30
Tm (0.3355, 0.3290, 0.5872)  5 Tm 3.33-3.55, 1 Y 3.39
Tm (0.7536, 0.7372, 0.5938)  6 Tm 3.21-3.55, 2 Y 3.28-3.41, 1 Nd 3.30
Tm (0.2417, 0.7583, 0.2500)  2 Y 3.12-3.38, 6 Tm 3.21-3.40
Tm (0.6710, 0.6645, 0.9128)  5 Tm 3.33-3.55, 1 Y 3.39
Tm (0.3290, 0.3355, 0.0872)  5 Tm 3.33-3.55, 1 Y 3.39
Tm (0.7583, 0.2417, 0.7500)  2 Y 3.12-3.38, 6 Tm 3.21-3.40
Tm (0.2464, 0.2628, 0.4062)  6 Tm 3.21-3.55, 2 Y 3.28-3.41, 1 Nd 3.30
Tm (0.6645, 0.6710, 0.4128)  5 Tm 3.33-3.55, 1 Y 3.39
Tm (0.2628, 0.2464, 0.9062)  6 Tm 3.21-3.55, 2 Y 3.28-3.41, 1 Nd 3.30

=====

# 4
First-principles (PBE) data for a relaxed structure of Nd4YTm6, as listed in Alexandria via LeMat-Bulk.

Properties
E_tot ... -4.293 eV/atom
ΔH_f (0 K) ... 0.467 eV per atom
Density ... 7.223 g cm⁻³
Offset from the most stable computed form ... 167.1 meV per atom

Unit cell a=7.7066 b=7.7066 c=8.4829 alpha=117.02 beta=117.02 gamma=90.00
Last column: nearest neighbours and their distance in Å.
Element x y z (fractional)
Nd (0.0988, 0.7483, 0.8471)  3 Tm 3.01-3.24, 2 Nd 3.35
Nd (0.9012, 0.9012, 0.1529)  3 Tm 3.01-3.24, 2 Nd 3.35
Nd (0.7483, 0.0988, 0.8471)  3 Tm 3.01-3.24, 2 Nd 3.35
Nd (0.2517, 0.2517, 0.1529)  3 Tm 3.01-3.24, 2 Nd 3.35
Y (0.5000, 0.5000, 0.0000)  8 Tm 3.58-3.85, 4 Nd 3.68
Tm (0.9288, 0.4346, 0.3633)  4 Nd 3.24-3.62, 1 Y 3.58, 2 Tm 3.61
Tm (0.4346, 0.9288, 0.3633)  4 Nd 3.24-3.62, 1 Y 3.58, 2 Tm 3.61
Tm (0.5654, 0.5654, 0.6367)  4 Nd 3.24-3.62, 1 Y 3.58, 2 Tm 3.61
Tm (0.0000, 0.5000, 0.0000)  4 Nd 3.01
Tm (0.0712, 0.0712, 0.6367)  4 Nd 3.24-3.62, 1 Y 3.58, 2 Tm 3.61
Tm (0.5000, 0.0000, 0.0000)  4 Nd 3.01